First-principles (PBE+U) data for a relaxed structure of NiSe2NF, as listed in Alexandria.

The calculation puts the energy above the most stable polymorph in this dataset at 663.1 meV/atom. The value obtained for the magnetic moment is 3.95 μB/f.u.

The structure belongs to space group P4/mmm (No. 123); the cell edges are 4.597, 4.597 and 4.058 Å and the angles 90.00°, 90.00° and 90.00°. The asymmetric unit holds Ni at (0.000, 0.000, 0.000), Se at (0.000, 0.500, 0.500), N at (0.500, 0.500, 0.000) and F at (0.500, 0.500, 0.500).